The following is a PBE calculation of crystalline ScReMo at its relaxed geometry, from Alexandria via LeMat-Bulk.

The structure belongs to space group Fmm2 (No. 42); the cell edges are 3.187, 4.611 and 13.764 Å and the angles 90.00°, 90.00° and 90.00°. The distinct sites, in fractional coordinates, are Sc at (0.000, 0.000, 0.000), Re at (0.000, 0.000, 0.670) and Mo at (0.000, 0.000, 0.323).

The energy above the most stable polymorph in this dataset comes out at 6.751 kcal/mol of atoms. The total energy is -117.278 eV/cell. The value obtained for the density is 10.74 g cm⁻³.